Density functional theory data (PBE) for TiVSb2 after structural relaxation.

Calculated values
- Volume: 21.620 Å³ per atom
- Distance to the lowest polymorph of the same formula: 0 meV per atom
- Uncorrected energy: -25.5 eV/cell
- Formation energy without anion corrections: -4.88 kJ per mole of atoms

Cell and atoms, written as POSCAR:
```
TiVSb2
1.0
4.030 0.000 0.000
2.015 3.490 0.000
2.015 1.163 6.148
Ti V Sb
1 1 2
Direct
0.500 0.500 0.500
0.000 0.000 0.000
0.253 0.253 0.242
0.747 0.747 0.758
```

Density functional theory data (PBE) for MgHg5 after structural relaxation.

Calculated values
- Volume: 24.849 Å³ per atom
- Uncorrected energy: -3.2 eV/cell
- DFT formation energy: -22.4 meV per atom

Cell and atoms, written as POSCAR:
```
MgHg5
1.0
1.745 -3.022 0.000
1.745 3.022 0.000
0.000 0.000 14.138
Mg Hg
1 5
Direct
0.667 0.333 0.500
0.667 0.333 0.825
0.000 0.000 0.000
0.667 0.333 0.175
0.000 0.000 0.348
0.000 0.000 0.652
```

Density functional theory data (PBE) for ScSbMo2Au after structural relaxation.

Calculated values
- Volume: 24.540 Å³ per atom
- Uncorrected energy: -29.0 eV/cell
- Formation energy without anion corrections: 122.67 kJ per mole of atoms

Cell and atoms, written as POSCAR:
```
ScSbMo2Au
1.0
-3.320 -2.602 2.627
1.197 -4.097 -2.545
3.498 -1.067 3.364
Sc Sb Mo Au
1 1 2 1
Direct
0.500 0.500 0.500
0.000 0.000 0.000
0.000 0.000 0.500
0.500 0.000 0.000
0.000 0.500 0.000
```

Density functional theory data (PBE) for Ac3AlAg3S8 after structural relaxation.

Calculated values
- Volume: 24.899 Å³ per atom
- Uncorrected energy: -74.6 eV/cell
- Formation energy without anion corrections: -109.06 kJ per mole of atoms

Cell and atoms, written as POSCAR:
```
Ac3AlAg3S8
1.0
8.572 0.000 0.000
-4.286 7.392 -0.065
0.000 -4.950 5.938
Ac Al Ag S
3 1 3 8
Direct
0.500 0.000 0.500
0.500 0.500 0.500
0.000 0.500 0.500
0.000 0.000 0.500
0.000 0.000 0.000
0.000 0.500 0.000
0.500 0.500 0.000
0.249 0.497 0.250
0.751 0.503 0.750
0.781 0.561 0.262
0.219 0.439 0.738
0.780 0.978 0.262
0.220 0.022 0.738
0.199 0.978 0.262
0.801 0.022 0.738
```